Entry 1:
First-principles (PBE-GGA) data for a relaxed K2YPt crystal, as listed in Alexandria.

Computed properties:
E above lowest polymorph = 453 meV per atom
calculated total energy = -3.542 eV/atom
formation energy = 0.53 eV per formula unit

Geometry as CIF:
```
data_K2YPt
_cell_length_a 11.622
_cell_length_b 11.622
_cell_length_c 5.338
_cell_angle_alpha 90.00
_cell_angle_beta 90.00
_cell_angle_gamma 90.00
_space_group_name_H-M_alt 'I -4 2 d'
_space_group_IT_number 122
_space_group_name_Hall 'I -4 2bw'
loop_
_atom_site_label
_atom_site_type_symbol
_atom_site_fract_x
_atom_site_fract_y
_atom_site_fract_z
K1 K 0.123 0.750 0.125
Y1 Y 0.000 0.000 0.500
Pt1 Pt 0.000 0.000 0.000
```



Entry 2:
First-principles (PBE-GGA) data for a relaxed K2YPt crystal, as listed in Alexandria.

Computed properties:
E above lowest polymorph = 0 meV per atom
calculated total energy = -3.995 eV/atom
formation energy = -1.28 eV per formula unit

Geometry as CIF:
```
data_K2YPt
_cell_length_a 4.102
_cell_length_b 3.856
_cell_length_c 10.555
_cell_angle_alpha 90.00
_cell_angle_beta 100.90
_cell_angle_gamma 90.00
_space_group_name_H-M_alt 'P 1 m 1'
_space_group_IT_number 6
loop_
_space_group_symop_operation_xyz
'x,y,z'
'x,-y,z'
loop_
_atom_site_label
_atom_site_type_symbol
_atom_site_fract_x
_atom_site_fract_y
_atom_site_fract_z
K1 K 0.000 0.000 0.000
K2 K 0.306 0.500 0.615
Y1 Y 0.649 0.500 0.297
Pt1 Pt 0.164 0.000 0.329
```



Entry 3:
First-principles (PBE-GGA) data for a relaxed KY2Pt crystal, as listed in Alexandria.

Computed properties:
E above lowest polymorph = 124 meV per atom
calculated total energy = -5.381 eV/atom
formation energy = -1.46 eV per formula unit

Geometry as CIF:
```
data_KY2Pt
_cell_length_a 4.038
_cell_length_b 3.921
_cell_length_c 9.309
_cell_angle_alpha 90.00
_cell_angle_beta 102.44
_cell_angle_gamma 90.00
_space_group_name_H-M_alt 'P 1 m 1'
_space_group_IT_number 6
loop_
_space_group_symop_operation_xyz
'x,y,z'
'x,-y,z'
loop_
_atom_site_label
_atom_site_type_symbol
_atom_site_fract_x
_atom_site_fract_y
_atom_site_fract_z
K1 K 0.000 0.000 0.000
Y1 Y 0.307 0.000 0.620
Y2 Y 0.679 0.500 0.364
Pt1 Pt 0.829 0.500 0.665
```



Entry 4:
First-principles (PBE-GGA) data for a relaxed KY2Pt crystal, as listed in Alexandria.

Computed properties:
E above lowest polymorph = 701 meV per atom
calculated total energy = -4.803 eV/atom
formation energy = 0.85 eV per formula unit

Geometry as CIF:
```
data_KY2Pt
_cell_length_a 6.724
_cell_length_b 10.146
_cell_length_c 3.491
_cell_angle_alpha 90.00
_cell_angle_beta 114.56
_cell_angle_gamma 90.00
_space_group_name_H-M_alt 'C 1 2/m 1'
_space_group_IT_number 12
loop_
_space_group_symop_operation_xyz
'x,y,z'
'-x,-y,-z'
'-x,y,-z'
'x,-y,z'
'x+1/2,y+1/2,z'
'-x+1/2,-y+1/2,-z'
'-x+1/2,y+1/2,-z'
'x+1/2,-y+1/2,z'
loop_
_atom_site_label
_atom_site_type_symbol
_atom_site_fract_x
_atom_site_fract_y
_atom_site_fract_z
K1 K 0.000 0.000 0.000
Y1 Y 0.250 0.250 0.500
Pt1 Pt 0.000 0.500 0.000
```